# MnInF5

Crystalline MnInF5 at its relaxed geometry (PBE+U, the Alexandria database).

The structure belongs to space group C2/c (No. 15); the cell edges are 9.0984, 6.6191 and 8.0025 Å and the angles 90.00°, 116.00° and 90.00°. The asymmetric unit holds Mn at (0.0000, 0.0265, 0.2500), In at (0.0000, 0.5000, 0.0000), F at (0.0000, 0.3767, 0.2500), F at (0.0242, 0.1933, 0.9551) and F at (0.2498, 0.0439, 0.3611).

The uncorrected energy comes out at -5.3563 eV/atom. The crystal system is monoclinic. The volume is 433 Å³ per cell.